CdAg2TeO4 | GGA-PBE | optimized geometry

Calculated values
The calculation puts the total energy at -4.217 eV/atom.

a = 8.670 Å, b = 10.712 Å, c = 6.752 Å
α = 90.00°, β = 128.62°, γ = 90.00°
Space group C2/c (No. 15)
Unique sites:
Cd1 0.250 0.250 0.000 [4 per cell]
Ag1 0.000 0.000 0.000 [4 per cell]
Ag2 0.250 0.250 0.500 [4 per cell]
Te1 0.000 0.500 0.000 [4 per cell]
O1 0.019 0.299 0.535 [8 per cell]
O2 0.219 0.482 0.927 [8 per cell]

=====

Nb3Cl7O | GGA-PBE | optimized geometry

Calculated values
The calculation puts the total energy at -5.775 eV/atom.

a = 6.7783 Å, b = 6.7783 Å, c = 6.5739 Å
α = 90.00°, β = 90.00°, γ = 120.00°
Space group P3m1 (No. 156)
Unique sites:
Nb1 0.0630 0.5315 0.0000 [3 per cell]
Cl1 0.1648 0.3296 0.7556 [3 per cell]
Cl2 0.3295 0.1648 0.2108 [3 per cell]
Cl3 0.6667 0.3333 0.8026 [1 per cell]
O1 0.3333 0.6667 0.2068 [1 per cell]

=====

RbReRuCl2 | GGA-PBE | optimized geometry

Calculated values
The calculation puts the total energy at -4.779 eV/atom.

a = 5.267 Å, b = 5.267 Å, c = 4.741 Å
α = 90.00°, β = 90.00°, γ = 90.00°
Space group P4/mmm (No. 123)
Unique sites:
Rb1 0.000 0.000 0.000 [1 per cell]
Re1 0.500 0.500 0.000 [1 per cell]
Ru1 0.500 0.500 0.500 [1 per cell]
Cl1 0.000 0.500 0.500 [2 per cell]

=====

TmGa4Pd6 | GGA-PBE | optimized geometry

Calculated values
The calculation puts the formation energy from the elements at -6.49 eV/f.u. The distance to the lowest polymorph of the same formula is 154.8 meV/atom.

a = 5.274 Å, b = 5.274 Å, c = 13.432 Å
α = 90.00°, β = 90.00°, γ = 90.00°
Space group I-42m (No. 121)
Unique sites:
Tm1 0.000 0.000 0.000 [2 per cell]
Ga1 0.189 0.189 0.364 [8 per cell]
Pd1 0.000 0.500 0.000 [4 per cell]
Pd2 0.214 0.214 0.177 [8 per cell]

=====

CeAlPt | GGA-PBE | optimized geometry

Calculated values
The calculation puts the formation energy from the elements at -3.08 eV/f.u.

a = 7.129 Å, b = 4.391 Å, c = 7.921 Å
α = 90.00°, β = 90.00°, γ = 90.00°
Space group Pnma (No. 62)
Unique sites:
Ce1 0.023 0.250 0.187 [4 per cell]
Al1 0.150 0.250 0.569 [4 per cell]
Pt1 0.223 0.750 0.394 [4 per cell]

=====

YCdCl2 | GGA-PBE | optimized geometry

Calculated values
The distance to the lowest polymorph of the same formula is 19.7 meV/atom.

a = 6.543 Å, b = 3.891 Å, c = 6.570 Å
α = 90.00°, β = 119.83°, γ = 90.00°
Space group P2/m (No. 10)
Unique sites:
Y1 0.000 0.000 0.000 [1 per cell]
Cd1 0.000 0.000 0.500 [1 per cell]
Cl1 0.318 0.500 0.159 [2 per cell]

=====

LiCePuMg | GGA-PBE | optimized geometry

Calculated values
The calculation puts the formation energy from the elements at 0.68 eV/f.u.

a = 7.211 Å, b = 7.211 Å, c = 7.211 Å
α = 90.00°, β = 90.00°, γ = 90.00°
Space group F-43m (No. 216)
Unique sites:
Li1 0.000 0.000 0.000 [4 per cell]
Ce1 0.000 0.000 0.500 [4 per cell]
Pu1 0.250 0.250 0.250 [4 per cell]
Mg1 0.250 0.250 0.750 [4 per cell]

=====

RbAgSbI2 | GGA-PBE | optimized geometry

Calculated values
The distance to the lowest polymorph of the same formula is 795.1 meV/atom.

a = 6.823 Å, b = 6.823 Å, c = 6.864 Å
α = 90.00°, β = 90.00°, γ = 90.00°
Space group P4/mmm (No. 123)
Unique sites:
Rb1 0.000 0.000 0.000 [1 per cell]
Ag1 0.500 0.500 0.500 [1 per cell]
Sb1 0.000 0.000 0.500 [1 per cell]
I1 0.000 0.500 0.000 [2 per cell]